# CdGe3Pt (GGA-PBEsol, optimized geometry)
data_CdGe3Pt
_chemical_formula_sum 'Cd1 Ge3 Pt1'
_symmetry_space_group_name_H-M 'P m -3 m'
_symmetry_Int_Tables_number 221
_symmetry_space_group_name_Hall '-P 4 2 3'
_cell_length_a 4.853
_cell_length_b 4.853
_cell_length_c 4.853
_cell_angle_alpha 90.00
_cell_angle_beta 90.00
_cell_angle_gamma 90.00
loop_
_atom_site_label
_atom_site_fract_x
_atom_site_fract_y
_atom_site_fract_z
Cd1 0.000 0.000 0.000
Ge1 0.000 0.500 0.500
Pt1 0.500 0.500 0.500
# Raw total energy in eV per atom: -4.2728
# Magnetic moment in μB per cell: 0.0



# CdGePt2S (GGA-PBEsol, optimized geometry)
data_CdGePt2S
_chemical_formula_sum 'Cd1 Ge1 Pt2 S1'
_symmetry_space_group_name_H-M 'P 4/m m m'
_symmetry_Int_Tables_number 123
_symmetry_space_group_name_Hall '-P 4 2'
_cell_length_a 4.640
_cell_length_b 4.640
_cell_length_c 4.686
_cell_angle_alpha 90.00
_cell_angle_beta 90.00
_cell_angle_gamma 90.00
loop_
_atom_site_label
_atom_site_fract_x
_atom_site_fract_y
_atom_site_fract_z
Cd1 0.000 0.000 0.000
Ge1 0.500 0.500 0.500
Pt1 0.000 0.500 0.500
S1 0.500 0.500 0.000
# Magnetic moment in μB per cell: 0.0
# Formation energy from raw total energies in eV/atom: 0.507



# RbCd2Ge2 (GGA-PBEsol, optimized geometry)
data_RbCd2Ge2
_chemical_formula_sum 'Rb2 Cd4 Ge4'
_symmetry_space_group_name_H-M 'I 4/m m m'
_symmetry_Int_Tables_number 139
_symmetry_space_group_name_Hall '-I 4 2'
_cell_length_a 4.676
_cell_length_b 4.676
_cell_length_c 11.160
_cell_angle_alpha 90.00
_cell_angle_beta 90.00
_cell_angle_gamma 90.00
loop_
_atom_site_label
_atom_site_fract_x
_atom_site_fract_y
_atom_site_fract_z
Rb1 0.000 0.000 0.000
Cd1 0.000 0.500 0.250
Ge1 0.000 0.000 0.387
# Raw total energy in eV per atom: -2.7381
# Magnetic moment in μB per cell: 0.0



# Rb3CdGe (GGA-PBEsol, optimized geometry)
data_Rb3CdGe
_chemical_formula_sum 'Rb3 Cd1 Ge1'
_symmetry_space_group_name_H-M 'P m -3 m'
_symmetry_Int_Tables_number 221
_symmetry_space_group_name_Hall '-P 4 2 3'
_cell_length_a 6.707
_cell_length_b 6.707
_cell_length_c 6.707
_cell_angle_alpha 90.00
_cell_angle_beta 90.00
_cell_angle_gamma 90.00
loop_
_atom_site_label
_atom_site_fract_x
_atom_site_fract_y
_atom_site_fract_z
Rb1 0.000 0.000 0.500
Cd1 0.500 0.500 0.500
Ge1 0.000 0.000 0.000
# Raw total energy in eV per atom: -1.5284
# Magnetic moment in μB per cell: 1.0



# CdReGe3 (GGA-PBEsol, optimized geometry)
data_CdReGe3
_chemical_formula_sum 'Cd1 Re1 Ge3'
_symmetry_space_group_name_H-M 'P m -3 m'
_symmetry_Int_Tables_number 221
_symmetry_space_group_name_Hall '-P 4 2 3'
_cell_length_a 4.925
_cell_length_b 4.925
_cell_length_c 4.925
_cell_angle_alpha 90.00
_cell_angle_beta 90.00
_cell_angle_gamma 90.00
loop_
_atom_site_label
_atom_site_fract_x
_atom_site_fract_y
_atom_site_fract_z
Cd1 0.000 0.000 0.000
Re1 0.500 0.500 0.500
Ge1 0.000 0.000 0.500
# Raw total energy in eV per atom: -3.9863
# Magnetic moment in μB per cell: 3.3



# TiCdRe2Ge (GGA-PBEsol, optimized geometry)
data_TiCdRe2Ge
_chemical_formula_sum 'Ti1 Cd1 Re2 Ge1'
_symmetry_space_group_name_H-M 'P 4/m m m'
_symmetry_Int_Tables_number 123
_symmetry_space_group_name_Hall '-P 4 2'
_cell_length_a 4.885
_cell_length_b 4.885
_cell_length_c 4.507
_cell_angle_alpha 90.00
_cell_angle_beta 90.00
_cell_angle_gamma 90.00
loop_
_atom_site_label
_atom_site_fract_x
_atom_site_fract_y
_atom_site_fract_z
Ti1 0.000 0.000 0.000
Cd1 0.500 0.500 0.500
Re1 0.000 0.500 0.500
Ge1 0.500 0.500 0.000
# Raw total energy in eV per atom: -5.7585
# Magnetic moment in μB per cell: 2.1



# Cd2GeRuRh (GGA-PBEsol, optimized geometry)
data_Cd2GeRuRh
_chemical_formula_sum 'Cd2 Ge1 Ru1 Rh1'
_symmetry_space_group_name_H-M 'P 4/m m m'
_symmetry_Int_Tables_number 123
_symmetry_space_group_name_Hall '-P 4 2'
_cell_length_a 4.991
_cell_length_b 4.991
_cell_length_c 4.526
_cell_angle_alpha 90.00
_cell_angle_beta 90.00
_cell_angle_gamma 90.00
loop_
_atom_site_label
_atom_site_fract_x
_atom_site_fract_y
_atom_site_fract_z
Cd1 0.000 0.500 0.000
Ge1 0.000 0.000 0.500
Ru1 0.500 0.500 0.500
Rh1 0.500 0.500 0.000
# Raw total energy in eV per atom: -4.1149
# Magnetic moment in μB per cell: 0.0



# Cd2GeRu (GGA-PBEsol, optimized geometry)
data_Cd2GeRu
_chemical_formula_sum 'Cd8 Ge4 Ru4'
_symmetry_space_group_name_H-M 'F m -3 m'
_symmetry_Int_Tables_number 225
_symmetry_space_group_name_Hall '-F 4 2 3'
_cell_length_a 6.558
_cell_length_b 6.558
_cell_length_c 6.558
_cell_angle_alpha 90.00
_cell_angle_beta 90.00
_cell_angle_gamma 90.00
loop_
_atom_site_label
_atom_site_fract_x
_atom_site_fract_y
_atom_site_fract_z
Cd1 0.250 0.250 0.250
Ge1 0.000 0.000 0.000
Ru1 0.000 0.000 0.500
# Raw total energy in eV per atom: -3.8560
# Magnetic moment in μB per cell: 0.1



# Cd2GeS (GGA-PBEsol, optimized geometry)
data_Cd2GeS
_chemical_formula_sum 'Cd8 Ge4 S4'
_symmetry_space_group_name_H-M 'F m -3 m'
_symmetry_Int_Tables_number 225
_symmetry_space_group_name_Hall '-F 4 2 3'
_cell_length_a 6.805
_cell_length_b 6.805
_cell_length_c 6.805
_cell_angle_alpha 90.00
_cell_angle_beta 90.00
_cell_angle_gamma 90.00
loop_
_atom_site_label
_atom_site_fract_x
_atom_site_fract_y
_atom_site_fract_z
Cd1 0.250 0.250 0.250
Ge1 0.000 0.000 0.000
S1 0.000 0.000 0.500
# Magnetic moment in μB per cell: 0.0
# Formation energy from raw total energies in eV/atom: 0.307



# CdGeS3 (GGA-PBEsol, optimized geometry)
data_CdGeS3
_chemical_formula_sum 'Cd1 Ge1 S3'
_symmetry_space_group_name_H-M 'P m -3 m'
_symmetry_Int_Tables_number 221
_symmetry_space_group_name_Hall '-P 4 2 3'
_cell_length_a 4.847
_cell_length_b 4.847
_cell_length_c 4.847
_cell_angle_alpha 90.00
_cell_angle_beta 90.00
_cell_angle_gamma 90.00
loop_
_atom_site_label
_atom_site_fract_x
_atom_site_fract_y
_atom_site_fract_z
Cd1 0.000 0.000 0.000
Ge1 0.500 0.500 0.500
S1 0.000 0.000 0.500
# Magnetic moment in μB per cell: 0.0
# Formation energy from raw total energies in eV/atom: 0.622



# CdGeSb3 (GGA-PBEsol, optimized geometry)
data_CdGeSb3
_chemical_formula_sum 'Cd1 Ge1 Sb3'
_symmetry_space_group_name_H-M 'P m -3 m'
_symmetry_Int_Tables_number 221
_symmetry_space_group_name_Hall '-P 4 2 3'
_cell_length_a 5.291
_cell_length_b 5.291
_cell_length_c 5.291
_cell_angle_alpha 90.00
_cell_angle_beta 90.00
_cell_angle_gamma 90.00
loop_
_atom_site_label
_atom_site_fract_x
_atom_site_fract_y
_atom_site_fract_z
Cd1 0.000 0.000 0.000
Ge1 0.500 0.500 0.500
Sb1 0.000 0.500 0.500
# Magnetic moment in μB per cell: 0.0
# Formation energy from raw total energies in eV/atom: 0.659



# CdGeSbTe2 (GGA-PBEsol, optimized geometry)
data_CdGeSbTe2
_chemical_formula_sum 'Cd1 Ge1 Sb1 Te2'
_symmetry_space_group_name_H-M 'P 4/m m m'
_symmetry_Int_Tables_number 123
_symmetry_space_group_name_Hall '-P 4 2'
_cell_length_a 5.448
_cell_length_b 5.448
_cell_length_c 5.366
_cell_angle_alpha 90.00
_cell_angle_beta 90.00
_cell_angle_gamma 90.00
loop_
_atom_site_label
_atom_site_fract_x
_atom_site_fract_y
_atom_site_fract_z
Cd1 0.000 0.000 0.000
Ge1 0.500 0.500 0.500
Sb1 0.000 0.000 0.500
Te1 0.000 0.500 0.000
# Magnetic moment in μB per cell: 0.0
# Formation energy from raw total energies in eV/atom: 0.768